No. 1
The following is a PBE calculation of a geometry-optimized LaSe2IBr structure, from the Alexandria database.

Cell lengths 5.9815, 5.9815, 5.7466 Å; angles 90.00, 90.00, 90.00 degrees
Space group P4/mmm (No. 123)
Inequivalent atoms, fractional coordinates:
La (0.0000, 0.0000, 0.0000) x1
Se (0.0000, 0.5000, 0.0000) x2
I (0.5000, 0.5000, 0.5000) x1
Br (0.0000, 0.0000, 0.5000) x1

## Properties
energy above the lowest structure with this stoichiometry	0	meV/atom
magnetization	3.08	μB per formula unit
energy	-3.5963	eV per atom
formation energy from raw total energies	-572	meV per atom

***

No. 2
The following is a PBE calculation of a geometry-optimized La6Si2I3Br structure, from the Alexandria database.

Cell lengths 7.6484, 13.2509, 8.1518 Å; angles 90.00, 108.19, 90.00 degrees
Space group C2/m (No. 12)
Inequivalent atoms, fractional coordinates:
La (0.2188, 0.0000, 0.2014) x4
La (0.2424, 0.3256, 0.2041) x8
Si (0.0000, 0.1670, 0.0000) x4
I (0.0000, 0.0000, 0.5000) x2
I (0.0000, 0.3361, 0.5000) x4
Br (0.0000, 0.5000, 0.0000) x2

## Properties
magnetization	0.00	μB per formula unit
energy	-4.9869	eV per atom
formation energy from raw total energies	-1092	meV per atom

***

No. 3
The following is a PBE calculation of a geometry-optimized La4SiI2Br structure, from the Alexandria database.

Cell lengths 7.5034, 4.3952, 8.2290 Å; angles 90.00, 108.21, 90.00 degrees
Space group P2/m (No. 10)
Inequivalent atoms, fractional coordinates:
La (0.2242, 0.0000, 0.2050) x2
La (0.2505, 0.5000, 0.7902) x2
Si (0.0000, 0.5000, 0.0000) x1
I (0.0000, 0.0000, 0.5000) x1
I (0.5000, 0.5000, 0.5000) x1
Br (0.5000, 0.0000, 0.0000) x1

## Properties
magnetization	0.00	μB per formula unit
energy	-4.8332	eV per atom
formation energy from raw total energies	-1095	meV per atom

***

No. 4
The following is a PBE calculation of a geometry-optimized La8Si3IBr4 structure, from the Alexandria database.

Cell lengths 8.8977, 8.8977, 21.6361 Å; angles 90.00, 90.00, 120.00 degrees
Space group R-3m (No. 166, hexagonal axes)
Inequivalent atoms, fractional coordinates:
La (0.0000, 0.0000, 0.2385) x6
La (0.0292, 0.5146, 0.7573) x18
Si (0.0000, 0.5000, 0.5000) x9
I (0.0000, 0.0000, 0.5000) x3
Br (0.0000, 0.0000, 0.0000) x3
Br (0.0000, 0.5000, 0.0000) x9

## Properties
magnetization	0.00	μB per formula unit
energy	-5.1595	eV per atom
formation energy from raw total energies	-1164	meV per atom

***

No. 5
The following is a PBE calculation of a geometry-optimized La8Si3I4Br structure, from the Alexandria database.

Cell lengths 8.8542, 8.8542, 23.2260 Å; angles 90.00, 90.00, 120.00 degrees
Space group R-3m (No. 166, hexagonal axes)
Inequivalent atoms, fractional coordinates:
La (0.0000, 0.0000, 0.2336) x6
La (0.0169, 0.5084, 0.7654) x18
Si (0.0000, 0.5000, 0.5000) x9
I (0.0000, 0.0000, 0.0000) x3
I (0.0000, 0.5000, 0.0000) x9
Br (0.0000, 0.0000, 0.5000) x3

## Properties
magnetization	0.00	μB per formula unit
energy	-5.0469	eV per atom
formation energy from raw total energies	-1074	meV per atom

***

No. 6
The following is a PBE calculation of a geometry-optimized La3SiIBr structure, from the Alexandria database.

Cell lengths 9.4785, 4.3248, 10.5275 Å; angles 90.00, 91.58, 90.00 degrees
Space group P2_1/m (No. 11)
Inequivalent atoms, fractional coordinates:
La (0.0908, 0.2500, 0.3541) x2
La (0.1462, 0.2500, 0.9148) x2
La (0.3411, 0.7500, 0.6322) x2
Si (0.1298, 0.2500, 0.6385) x2
I (0.3733, 0.7500, 0.3196) x2
Br (0.3693, 0.7500, 0.9207) x2

## Properties
magnetization	1.33	μB per formula unit
energy	-4.9442	eV per atom
formation energy from raw total energies	-1039	meV per atom

***

No. 7
The following is a PBE calculation of a geometry-optimized La4SnI2Br structure, from the Alexandria database.

Cell lengths 7.5883, 4.5891, 8.1989 Å; angles 90.00, 109.77, 90.00 degrees
Space group P2/m (No. 10)
Inequivalent atoms, fractional coordinates:
La (0.2266, 0.0000, 0.2163) x2
La (0.2455, 0.5000, 0.7760) x2
Sn (0.5000, 0.0000, 0.0000) x1
I (0.0000, 0.0000, 0.5000) x1
I (0.5000, 0.5000, 0.5000) x1
Br (0.0000, 0.5000, 0.0000) x1

## Properties
magnetization	0.00	μB per formula unit
energy	-4.6097	eV per atom
formation energy from raw total energies	-1049	meV per atom

***

No. 8
The following is a PBE calculation of a geometry-optimized Sr2LaIBr structure, from the Alexandria database.

Cell lengths 6.0357, 6.0357, 5.8692 Å; angles 90.00, 90.00, 90.00 degrees
Space group P4/mmm (No. 123)
Inequivalent atoms, fractional coordinates:
Sr (0.0000, 0.5000, 0.0000) x2
La (0.0000, 0.0000, 0.5000) x1
I (0.5000, 0.5000, 0.5000) x1
Br (0.0000, 0.0000, 0.0000) x1

## Properties
magnetization	3.62	μB per formula unit
energy	-2.7038	eV per atom
formation energy from raw total energies	-401	meV per atom

***

No. 9
The following is a PBE calculation of a geometry-optimized LaTaI2Br structure, from the Alexandria database.

Cell lengths 5.3927, 5.3927, 5.9760 Å; angles 90.00, 90.00, 90.00 degrees
Space group P4/mmm (No. 123)
Inequivalent atoms, fractional coordinates:
La (0.0000, 0.0000, 0.0000) x1
Ta (0.0000, 0.0000, 0.5000) x1
I (0.0000, 0.5000, 0.5000) x2
Br (0.5000, 0.5000, 0.0000) x1

## Properties
magnetization	0.00	μB per formula unit
energy	-4.5148	eV per atom
formation energy from raw total energies	-204	meV per atom

***

No. 10
The following is a PBE calculation of a geometry-optimized La4TcIBr2 structure, from the Alexandria database.

Cell lengths 7.8242, 4.2233, 8.2268 Å; angles 90.00, 106.12, 90.00 degrees
Space group P2/m (No. 10)
Inequivalent atoms, fractional coordinates:
La (0.2118, 0.0000, 0.2018) x2
La (0.2245, 0.5000, 0.7989) x2
Tc (0.0000, 0.5000, 0.0000) x1
I (0.0000, 0.0000, 0.5000) x1
Br (0.5000, 0.0000, 0.0000) x1
Br (0.5000, 0.5000, 0.5000) x1

## Properties
magnetization	0.00	μB per formula unit
energy	-5.2788	eV per atom
formation energy from raw total energies	-907	meV per atom

***

No. 11
The following is a PBE calculation of a geometry-optimized La6Tc2I3Br structure, from the Alexandria database.

Cell lengths 20.1911, 4.2753, 9.8771 Å; angles 90.00, 108.26, 90.00 degrees
Space group C2/m (No. 12)
Inequivalent atoms, fractional coordinates:
La (0.0310, 0.0000, 0.2596) x4
La (0.1696, 0.5000, 0.1471) x4
La (0.1800, 0.5000, 0.5505) x4
Tc (0.1569, 0.0000, 0.3303) x4
I (0.0000, 0.5000, 0.5000) x2
I (0.1577, 0.0000, 0.8406) x4
Br (0.0000, 0.5000, 0.0000) x2

## Properties
magnetization	0.00	μB per formula unit
energy	-5.5146	eV per atom
formation energy from raw total energies	-796	meV per atom

***

No. 12
The following is a PBE calculation of a geometry-optimized La4TcI2Br structure, from the Alexandria database.

Cell lengths 7.9354, 4.2697, 8.3007 Å; angles 90.00, 105.10, 90.00 degrees
Space group P2/m (No. 10)
Inequivalent atoms, fractional coordinates:
La (0.2018, 0.0000, 0.1927) x2
La (0.2210, 0.5000, 0.7983) x2
Tc (0.0000, 0.5000, 0.0000) x1
I (0.0000, 0.0000, 0.5000) x1
I (0.5000, 0.5000, 0.5000) x1
Br (0.5000, 0.0000, 0.0000) x1

## Properties
magnetization	0.00	μB per formula unit
energy	-5.2195	eV per atom
formation energy from raw total energies	-863	meV per atom

***

No. 13
The following is a PBE calculation of a geometry-optimized LaTh2I2Br4 structure, from the Alexandria database.

Cell lengths 4.0070, 4.0070, 24.9094 Å; angles 90.00, 90.00, 120.00 degrees
Space group P3m1 (No. 156)
Inequivalent atoms, fractional coordinates:
La (0.0000, 0.0000, 0.0000) x1
Th (0.0000, 0.0000, 0.6525) x1
Th (0.6667, 0.3333, 0.3332) x1
I (0.6667, 0.3333, 0.0902) x1
I (0.6667, 0.3333, 0.9098) x1
Br (0.0000, 0.0000, 0.2537) x1
Br (0.0000, 0.0000, 0.4130) x1
Br (0.6667, 0.3333, 0.5728) x1
Br (0.6667, 0.3333, 0.7321) x1

## Properties
magnetization	0.96	μB per formula unit
energy	-4.6563	eV per atom
formation energy from raw total energies	-1372	meV per atom

***

No. 14
The following is a PBE calculation of a geometry-optimized LaTi2IBr structure, from the Alexandria database.

Cell lengths 5.0253, 5.0253, 6.2251 Å; angles 90.00, 90.00, 90.00 degrees
Space group P4/mmm (No. 123)
Inequivalent atoms, fractional coordinates:
La (0.0000, 0.0000, 0.0000) x1
Ti (0.0000, 0.5000, 0.5000) x2
I (0.0000, 0.0000, 0.5000) x1
Br (0.5000, 0.5000, 0.0000) x1

## Properties
magnetization	2.72	μB per formula unit
energy	-4.2560	eV per atom
formation energy from raw total energies	532	meV per atom

***

No. 15
The following is a PBE calculation of a geometry-optimized La4Tl2IBr structure, from the Alexandria database.

Cell lengths 7.7070, 4.6469, 8.1592 Å; angles 90.00, 110.15, 90.00 degrees
Space group P2/m (No. 10)
Inequivalent atoms, fractional coordinates:
La (0.2396, 0.0000, 0.2418) x2
La (0.2431, 0.5000, 0.7530) x2
Tl (0.0000, 0.0000, 0.5000) x1
Tl (0.0000, 0.5000, 0.0000) x1
I (0.5000, 0.5000, 0.5000) x1
Br (0.5000, 0.0000, 0.0000) x1

## Properties
magnetization	0.00	μB per formula unit
energy	-4.2152	eV per atom
formation energy from raw total energies	-757	meV per atom

***

No. 16
The following is a PBE calculation of a geometry-optimized LaWI2Br structure, from the Alexandria database.

Cell lengths 6.5030, 6.5030, 4.6312 Å; angles 90.00, 90.00, 90.00 degrees
Space group P4/mmm (No. 123)
Inequivalent atoms, fractional coordinates:
La (0.0000, 0.0000, 0.0000) x1
W (0.5000, 0.5000, 0.0000) x1
I (0.0000, 0.5000, 0.5000) x2
Br (0.5000, 0.5000, 0.5000) x1

## Properties
magnetization	2.41	μB per formula unit
energy	-3.6628	eV per atom
formation energy from raw total energies	868	meV per atom

***

No. 17
The following is a PBE calculation of a geometry-optimized LaY2IBr structure, from the Alexandria database.

Cell lengths 5.2965, 5.2965, 6.7199 Å; angles 90.00, 90.00, 90.00 degrees
Space group P4/mmm (No. 123)
Inequivalent atoms, fractional coordinates:
La (0.0000, 0.0000, 0.0000) x1
Y (0.0000, 0.5000, 0.5000) x2
I (0.5000, 0.5000, 0.0000) x1
Br (0.5000, 0.5000, 0.5000) x1

## Properties
magnetization	1.60	μB per formula unit
energy	-4.4027	eV per atom
formation energy from raw total energies	-187	meV per atom

***

No. 18
The following is a PBE calculation of a geometry-optimized La8Zn3I4Br structure, from the Alexandria database.

Cell lengths 8.6444, 8.6444, 24.1439 Å; angles 90.00, 90.00, 120.00 degrees
Space group R-3m (No. 166, hexagonal axes)
Inequivalent atoms, fractional coordinates:
La (0.0000, 0.0000, 0.2394) x6
La (0.0024, 0.5012, 0.2395) x18
Zn (0.0000, 0.5000, 0.5000) x9
I (0.0000, 0.0000, 0.0000) x3
I (0.0000, 0.5000, 0.0000) x9
Br (0.0000, 0.0000, 0.5000) x3

## Properties
magnetization	0.00	μB per formula unit
energy	-3.9646	eV per atom
formation energy from raw total energies	-770	meV per atom

***

No. 19
The following is a PBE calculation of a geometry-optimized Li2IBr2 structure, from the Alexandria database.

Cell lengths 10.1525, 10.1525, 3.3119 Å; angles 90.00, 90.00, 90.00 degrees
Space group P4/mbm (No. 127)
Inequivalent atoms, fractional coordinates:
Li (0.0879, 0.4121, 0.0000) x4
I (0.0000, 0.0000, 0.5000) x2
Br (0.1175, 0.6175, 0.5000) x4

## Properties
energy above the lowest structure with this stoichiometry	151	meV/atom
magnetization	0.00	μB per formula unit
energy	-2.5982	eV per atom
formation energy from raw total energies	-853	meV per atom

***

No. 20
The following is a PBE calculation of a geometry-optimized LiI3Br9 structure, from the Alexandria database.

Cell lengths 19.1053, 10.0785, 15.5444 Å; angles 90.00, 114.60, 90.00 degrees
Space group Cc (No. 9)
Inequivalent atoms, fractional coordinates:
Li (0.0000, 0.0602, 0.0000) x4
I (0.0867, 0.1612, 0.3224) x4
I (0.3286, 0.3281, 0.9278) x4
I (0.4239, 0.1183, 0.3092) x4
Br (0.0058, 0.3863, 0.3143) x4
Br (0.0529, 0.2529, 0.9147) x4
Br (0.0823, 0.2126, 0.1504) x4
Br (0.0995, 0.1156, 0.5019) x4
Br (0.2256, 0.2343, 0.7600) x4
Br (0.2903, 0.0011, 0.6877) x4
Br (0.3003, 0.1219, 0.0174) x4
Br (0.3717, 0.4654, 0.3431) x4
Br (0.4293, 0.4280, 0.0933) x4

## Properties
magnetization	0.97	μB per formula unit
energy	-1.8787	eV per atom
formation energy from raw total energies	-216	meV per atom

***

No. 21
The following is a PBE calculation of a geometry-optimized LiIBr3 structure, from the Alexandria database.

Cell lengths 4.4046, 9.5071, 10.2192 Å; angles 100.61, 101.82, 93.96 degrees
Space group P-1 (No. 2)
Inequivalent atoms, fractional coordinates:
Li (0.2190, 0.2078, 0.2362) x2
I (0.4825, 0.2047, 0.7014) x2
Br (0.1266, 0.9419, 0.1009) x2
Br (0.2590, 0.6636, 0.7624) x2
Br (0.3663, 0.7314, 0.5188) x2

## Properties
energy above the lowest structure with this stoichiometry	0	meV/atom
magnetization	0.00	μB per formula unit
energy	-2.2559	eV per atom
formation energy from raw total energies	-559	meV per atom

***

No. 22
The following is a PBE calculation of a geometry-optimized LiI2Br structure, from the Alexandria database.

Cell lengths 8.0503, 8.0503, 8.0503 Å; angles 90.00, 90.00, 90.00 degrees
Space group Fm-3m (No. 225)
Inequivalent atoms, fractional coordinates:
Li (0.0000, 0.0000, 0.0000) x4
I (0.2500, 0.2500, 0.2500) x8
Br (0.0000, 0.0000, 0.5000) x4

## Properties
energy above the lowest structure with this stoichiometry	623	meV/atom
magnetization	2.00	μB per formula unit
energy	-1.7556	eV per atom
formation energy from raw total energies	-84	meV per atom